32
Lattice="-6.853 -3.903 -0.020 -0.299 -7.456 2.552 -3.607 -1.669 6.886" Properties=species:S:1:pos:R:3 comment="B3H12Pb | Alexandria via LeMat-Bulk | GGA-PBE | relaxed" energy_ev_per_atom=-3.92 m_tot_mub_per_fu=0.00 space_group="R-3c (167)" pbc="T T T"
H -6.735 -5.690 4.470
H -4.964 -3.959 4.962
H -4.621 -4.614 3.187
H -5.515 -7.907 5.495
B -4.377 -8.361 5.587
H -8.438 -5.913 3.611
B -7.617 -6.525 4.288
B -5.999 -9.439 2.121
H -2.709 -6.510 2.797
B -2.539 -7.545 2.158
H -7.167 -9.772 2.298
H -5.589 -4.499 0.770
H -7.845 -6.937 5.422
H -3.541 -8.282 4.691
H -8.247 -7.829 7.837
H -8.799 -11.778 8.368
H -7.026 -10.051 8.863
H -4.057 -5.652 5.000
H -1.715 -8.154 2.835
B -5.779 -5.709 0.858
H -3.884 -7.685 6.487
H -6.615 -5.791 1.754
Pb -5.078 -7.035 3.222
B -4.158 -4.631 4.325
H -4.571 -9.570 5.676
H -7.449 -7.559 3.647
H -5.533 -9.456 3.257
H -2.988 -4.301 4.150
H -9.710 -10.087 8.332
H -9.877 -8.055 6.845
H -5.920 -8.804 7.908
Pb -3.306 -2.190 5.398

---

5
Lattice="-2.029 -0.490 5.462 4.623 -3.439 1.409 3.050 4.739 1.558" Properties=species:S:1:pos:R:3 comment="KSr2ReBi | Alexandria via LeMat-Bulk | GGA-PBE | relaxed" energy_ev_per_atom=-3.33 formation_enthalpy_0k_mev_per_atom=830 m_tot_mub_per_fu=3.00 space_group="P4/mmm (123)" pbc="T T T"
Sr 1.525 2.369 0.779
K 2.312 -1.720 0.705
Re 0.000 0.000 0.000
Bi 2.822 0.405 4.215
Sr -1.015 -0.245 2.731

---

10
Lattice="-1.466 -0.169 -7.090 -2.402 -6.800 0.659 -2.719 1.013 0.538" Properties=species:S:1:pos:R:3 comment="LaZn2Co2 | Alexandria via LeMat-Bulk | GGA-PBE | relaxed" e_above_lowest_polymorph_mev_per_atom=117 energy_ev_per_atom=-4.37 formation_enthalpy_0k_mev_per_atom=-32 m_tot_mub_per_fu=0.00 space_group="P4/mbm (127)" pbc="T T T"
Co -1.377 -1.244 -4.615
La -1.934 -3.484 -3.216
Co -1.045 -2.297 -0.960
La 0.000 0.000 0.000
Co -2.492 -5.725 -1.816
Zn -3.049 -3.774 -0.214
Zn -2.211 -0.416 -2.297
Zn -4.376 -5.540 -3.596
Co -2.823 -4.672 -5.471
Zn -3.538 -2.182 -5.679

---

10
Lattice="-2.912 -2.876 -4.591 4.447 -4.245 -0.162 -2.219 -2.436 2.933" Properties=species:S:1:pos:R:3 comment="Mg2CrRu2 | Alexandria via LeMat-Bulk | GGA-PBE | relaxed" e_above_lowest_polymorph_mev_per_atom=0 energy_ev_per_atom=-6.09 formation_enthalpy_0k_mev_per_atom=188 m_tot_mub_per_fu=1.14 space_group="P4/mbm (127)" pbc="T T T"
Cr 0.000 0.000 0.000
Mg 1.376 -4.554 0.576
Mg 0.628 -6.668 -1.745
Ru 2.774 -4.676 -1.785
Ru 0.353 -5.192 -4.045
Ru 1.182 -1.929 -0.708
Mg -1.311 -2.889 -0.074
Cr 0.767 -3.561 -2.376
Ru -1.239 -2.446 -2.968
Mg -2.060 -5.003 -2.395

---

6
Lattice="0.000 3.426 3.426 3.426 0.000 3.426 3.426 3.426 0.000" Properties=species:S:1:pos:R:3 comment="Li4TaTc | Alexandria via LeMat-Bulk | GGA-PBE | relaxed" energy_ev_per_atom=-4.56 formation_enthalpy_0k_mev_per_atom=424 m_tot_mub_per_fu=0.00 space_group="F-43m (216)" pbc="T T T"
Li 2.559 2.559 2.559
Li 4.293 2.559 4.293
Ta 5.139 5.139 5.139
Tc 0.000 0.000 0.000
Li 4.293 4.293 2.559
Li 2.559 4.293 4.293

---

5
Lattice="-4.708 2.492 -0.343 0.170 -0.411 -5.320 -2.442 -4.577 0.276" Properties=species:S:1:pos:R:3 comment="NaLa2TlCo | Alexandria via LeMat-Bulk | GGA-PBE | relaxed" e_above_lowest_polymorph_mev_per_atom=0 energy_ev_per_atom=-4.23 formation_enthalpy_0k_mev_per_atom=-104 m_tot_mub_per_fu=0.00 space_group="P4/mmm (123)" pbc="T T T"
La -2.354 1.246 -0.171
Tl -1.221 -2.289 0.138
Na -3.491 -1.248 -2.693
Co 0.000 0.000 0.000
La 0.085 -0.206 -2.660

---

Here are the calculated N(E_F) numbers, same order: 4.2; 3.7; 4.3; 6.8; 6.0; 4.7 (states/eV per cell).